Entry 1:
The following is a DFT calculation (PBE) of crystalline Bi3MoI at its relaxed geometry.

Values from the calculation:
SG: Pm-3m
Crystal system: cubic
Calculated total energy, eV per atom: -4.435

Structure (extended XYZ):
```
5
Lattice="5.434 0.000 0.000 0.000 5.434 0.000 0.000 0.000 5.434" Properties=species:S:1:pos:R:3 pbc="T T T"
Mo 0.000 0.000 0.000
Bi 2.717 0.000 0.000
Bi 0.000 0.000 2.717
I 2.717 2.717 2.717
Bi 0.000 2.717 0.000
```



Entry 2:
The following is a DFT calculation (PBE) of crystalline Pr2HoCu9 at its relaxed geometry.

Values from the calculation:
E_form, eV per atom: -0.14
SG: R-3m
Crystal system: trigonal

Structure (extended XYZ):
```
12
Lattice="5.195 0.000 0.000 2.598 4.499 0.000 2.598 1.500 8.528" Properties=species:S:1:pos:R:3 pbc="T T T"
Cu 6.482 3.742 6.505
Cu 2.598 1.500 0.033
Cu 7.793 4.499 8.495
Cu 3.909 3.742 6.505
Cu 5.195 1.514 6.505
Cu 5.195 4.485 2.023
Pr 2.598 1.500 4.951
Pr 7.793 4.499 3.577
Ho 0.000 0.000 0.000
Cu 3.909 2.257 2.023
Cu 5.195 2.999 4.264
Cu 6.482 2.257 2.023
```



Entry 3:
The following is a DFT calculation (PBE) of crystalline GdPa2Au at its relaxed geometry.

Values from the calculation:
E_form, eV per atom: 0.34
SG: R-3m
Crystal system: trigonal

Structure (extended XYZ):
```
4
Lattice="-1.526 -0.715 -2.656 1.333 -1.908 -2.115 -4.993 -10.249 3.765" Properties=species:S:1:pos:R:3 pbc="T T T"
Pa -1.436 -4.989 -3.419
Pa -3.749 -7.884 2.413
Gd -2.593 -6.436 -0.503
Au 0.000 0.000 0.000
```



Ρ in g/cm³, matching the order above: 8.796, 8.486, 13.334
Size of the total moment in μB/f.u., matching the order above: 0.0, 0.0, 6.8